(1)
The following is a PBE-GGA calculation of an optimized crystal structure of Mg2Nb4Tl, from Alexandria via LeMat-Bulk.

Output
space group: I4/mmm
formation energy: 12.7 eV per formula unit
uncorrected energy: -4.74 eV per atom

Structure (POSCAR):
```
Mg2Nb4Tl
1.0
5.152 0.000 0.000
0.000 5.152 0.000
2.576 2.576 7.028
Mg Tl Nb
2 1 4
direct
0.608 0.608 0.784
0.392 0.392 0.216
0.000 0.000 0.000
0.810 0.810 0.380
0.190 0.190 0.620
0.000 0.500 0.000
0.500 0.000 0.000
```



(2)
The following is a PBE-GGA calculation of an optimized crystal structure of Y2P3Ir4Rh, from Alexandria via LeMat-Bulk.

Output
space group: P-4m2
formation energy: -8.2 eV per formula unit
uncorrected energy: -8.02 eV per atom

Structure (POSCAR):
```
Y2P3Ir4Rh
1.0
4.072 0.000 0.000
0.000 4.072 0.000
0.000 0.000 10.088
Y P Ir Rh
2 3 4 1
direct
0.500 0.000 0.248
0.000 0.500 0.752
0.000 0.000 0.500
0.500 0.000 0.865
0.000 0.500 0.135
0.500 0.500 0.000
0.000 0.000 0.000
0.500 0.000 0.641
0.000 0.500 0.359
0.500 0.500 0.500
```



(3)
The following is a PBE-GGA calculation of an optimized crystal structure of FeAs2Ir, from Alexandria via LeMat-Bulk.

Output
energy relative to the lowest polymorph listed for this composition: 0.006 eV/atom
space group: Pmm2
formation energy: 0.0 eV per formula unit
uncorrected energy: -6.65 eV per atom

Structure (POSCAR):
```
FeAs2Ir
1.0
4.576 0.000 0.000
0.000 3.037 -0.132
0.000 0.188 4.321
As Fe Ir
2 1 1
direct
0.000 0.875 0.983
0.500 0.375 0.278
0.000 0.375 0.500
0.500 0.875 0.739
```



(4)
The following is a PBE-GGA calculation of an optimized crystal structure of CaPmGdIr, from Alexandria via LeMat-Bulk.

Output
space group: F-43m
formation energy: -0.6 eV per formula unit
uncorrected energy: -7.57 eV per atom

Structure (POSCAR):
```
CaPmGdIr
1.0
5.206 0.000 0.000
2.603 4.508 0.000
2.603 1.503 4.250
Gd Ca Ir Pm
1 1 1 1
direct
0.000 0.000 0.000
0.250 0.250 0.250
0.750 0.750 0.750
0.500 0.500 0.500
```



(5)
The following is a PBE-GGA calculation of an optimized crystal structure of Li2MgI, from Alexandria via LeMat-Bulk.

Output
energy relative to the lowest polymorph listed for this composition: 0.000 eV/atom
space group: I-42d
uncorrected energy: -2.01 eV per atom

Structure (POSCAR):
```
Li2MgI
1.0
7.862 0.000 0.000
0.000 7.862 0.000
3.931 3.931 3.646
I Mg Li
2 2 4
direct
0.000 0.000 0.000
0.750 0.250 0.500
0.500 0.500 0.000
0.250 0.750 0.500
0.658 0.125 0.250
0.092 0.625 0.250
0.375 0.342 0.750
0.875 0.908 0.750
```



(6)
The following is a PBE-GGA calculation of an optimized crystal structure of ZnSbOs, from Alexandria via LeMat-Bulk.

Output
energy relative to the lowest polymorph listed for this composition: 0.382 eV/atom
space group: P3m1
uncorrected energy: -4.95 eV per atom

Structure (POSCAR):
```
ZnSbOs
1.0
-0.335 -1.571 4.163
-2.417 -1.827 -3.275
2.357 -2.063 -0.589
Os Sb Zn
1 1 1
direct
0.000 0.000 0.165
0.333 0.667 0.167
0.667 0.333 0.668
```



What is the formula in the second record? Y2P3Ir4Rh



Among the records above, which one has the highest uncorrected energy? Li2MgI